Computed, not measured: an optimized crystal structure of LiTiIrRh at the PBE level of DFT.

Values from the calculation:
ΔH_f (0 K), eV/atom: -0.65
DFT total energy, eV/cell: -114.48
Fermi-level density of states, states/eV per cell: 5.89

The structure in CIF format:
```
data_LiTiIrRh
_cell_length_a 6.029
_cell_length_b 6.029
_cell_length_c 6.029
_cell_angle_alpha 90.00
_cell_angle_beta 90.00
_cell_angle_gamma 90.00
_space_group_name_H-M_alt 'F -4 3 m'
_space_group_IT_number 216
_space_group_name_Hall 'F -4 2 3'
loop_
_atom_site_label
_atom_site_type_symbol
_atom_site_fract_x
_atom_site_fract_y
_atom_site_fract_z
Li1 Li 0.000 0.000 0.000
Ti1 Ti 0.000 0.000 0.500
Ir1 Ir 0.250 0.250 0.750
Rh1 Rh 0.250 0.250 0.250
```